The following is a PBE calculation of a relaxed Sb3Pd12Au crystal, from Alexandria.

Unit cell a=4.040 b=4.040 c=16.198 alpha=90.00 beta=90.00 gamma=90.00
Fractional positions:
1 Sb 0.000 0.000 0.239
2 Sb 0.000 0.000 0.500
3 Sb 0.000 0.000 0.761
4 Pd 0.500 0.500 0.000
5 Pd 0.500 0.500 0.254
6 Pd 0.500 0.500 0.500
7 Pd 0.500 0.500 0.746
8 Pd 0.500 0.000 0.125
9 Pd 0.500 0.000 0.376
10 Pd 0.500 0.000 0.624
11 Pd 0.500 0.000 0.875
12 Pd 0.000 0.500 0.125
13 Pd 0.000 0.500 0.376
14 Pd 0.000 0.500 0.624
15 Pd 0.000 0.500 0.875
16 Au 0.000 0.000 0.000

## Properties
spin magnetization: 0.0 μB per formula unit
energy relative to the elements, uncorrected: -0.324 eV per atom

---

The following is a PBE calculation of a relaxed Sb8Pd3Au crystal, from Alexandria.

Unit cell a=6.610 b=6.610 c=6.610 alpha=89.84 beta=89.84 gamma=89.84
Fractional positions:
1 Sb 0.874 0.874 0.874
2 Sb 0.117 0.369 0.630
3 Sb 0.630 0.117 0.369
4 Sb 0.369 0.630 0.117
5 Sb 0.126 0.126 0.126
6 Sb 0.883 0.631 0.370
7 Sb 0.370 0.883 0.631
8 Sb 0.631 0.370 0.883
9 Pd 0.500 0.000 0.000
10 Pd 0.000 0.500 0.000
11 Pd 0.000 0.000 0.500
12 Au 0.500 0.500 0.500

## Properties
spin magnetization: 0.0 μB per formula unit
energy relative to the elements, uncorrected: -0.291 eV per atom

---

The following is a PBE calculation of a relaxed SbPd2Au crystal, from Alexandria.

Unit cell a=3.484 b=8.971 c=9.839 alpha=90.00 beta=90.00 gamma=101.20
Fractional positions:
1 Sb 0.872 0.743 0.519
2 Sb 0.128 0.257 0.019
3 Sb 0.872 0.743 0.981
4 Sb 0.128 0.257 0.481
5 Pd 0.118 0.235 0.750
6 Pd 0.045 0.089 0.250
7 Pd 0.882 0.765 0.250
8 Pd 0.955 0.911 0.750
9 Pd 0.277 0.555 0.392
10 Pd 0.723 0.445 0.608
11 Pd 0.723 0.445 0.892
12 Pd 0.277 0.555 0.108
13 Au 0.500 0.000 0.500
14 Au 0.500 0.000 0.000
15 Au 0.677 0.354 0.250
16 Au 0.323 0.646 0.750

## Properties
spin magnetization: 0.0 μB per formula unit
energy relative to the elements, uncorrected: -0.130 eV per atom

---

The following is a PBE calculation of a relaxed Sb4Pd5Au crystal, from Alexandria.

Unit cell a=4.828 b=9.590 c=8.666 alpha=90.00 beta=90.00 gamma=90.00
Fractional positions:
1 Sb 0.950 0.000 0.701
2 Sb 0.277 0.774 0.000
3 Sb 0.277 0.226 0.000
4 Sb 0.950 0.000 0.299
5 Sb 0.050 0.500 0.201
6 Sb 0.723 0.726 0.500
7 Sb 0.723 0.274 0.500
8 Sb 0.050 0.500 0.799
9 Pd 0.245 0.761 0.665
10 Pd 0.245 0.239 0.665
11 Pd 0.493 0.500 0.000
12 Pd 0.245 0.761 0.335
13 Pd 0.245 0.239 0.335
14 Pd 0.755 0.739 0.165
15 Pd 0.755 0.261 0.165
16 Pd 0.507 0.000 0.500
17 Pd 0.755 0.261 0.835
18 Pd 0.755 0.739 0.835
19 Au 0.659 0.000 0.000
20 Au 0.341 0.500 0.500

## Properties
spin magnetization: 0.0 μB per formula unit
energy relative to the elements, uncorrected: -0.288 eV per atom

---

The following is a PBE calculation of a relaxed SbPd9Au2 crystal, from Alexandria.

Unit cell a=4.054 b=4.054 c=11.832 alpha=90.00 beta=90.00 gamma=90.00
Fractional positions:
1 Sb 0.000 0.000 0.000
2 Pd 0.500 0.500 0.000
3 Pd 0.500 0.500 0.333
4 Pd 0.500 0.500 0.667
5 Pd 0.500 0.000 0.165
6 Pd 0.500 0.000 0.500
7 Pd 0.500 0.000 0.835
8 Pd 0.000 0.500 0.165
9 Pd 0.000 0.500 0.500
10 Pd 0.000 0.500 0.835
11 Au 0.000 0.000 0.335
12 Au 0.000 0.000 0.665

## Properties
spin magnetization: 0.0 μB per formula unit
energy relative to the elements, uncorrected: -0.168 eV per atom

---

The following is a PBE calculation of a relaxed Sb2Pd2Au crystal, from Alexandria.

Unit cell a=4.572 b=4.572 c=6.340 alpha=68.86 beta=68.86 gamma=90.00
Fractional positions:
1 Sb 0.750 0.250 0.500
2 Sb 0.250 0.750 0.500
3 Au 0.000 0.000 0.000
4 Pd 0.380 0.380 0.239
5 Pd 0.620 0.620 0.761

## Properties
spin magnetization: 0.0 μB per formula unit
relative energy among the computed polymorphs: 311 meV/atom
energy relative to the elements, uncorrected: 0.092 eV per atom

---

The following is a PBE calculation of a relaxed SbPd4Au crystal, from Alexandria.

Unit cell a=4.010 b=4.913 c=6.449 alpha=103.84 beta=71.88 gamma=65.91
Fractional positions:
1 Sb 0.500 0.500 0.500
2 Pd 0.835 0.499 0.830
3 Pd 0.332 0.002 0.334
4 Pd 0.165 0.501 0.170
5 Pd 0.668 0.998 0.666
6 Au 0.000 0.000 0.000

## Properties
spin magnetization: 0.0 μB per formula unit
relative energy among the computed polymorphs: 5 meV/atom
energy relative to the elements, uncorrected: -0.266 eV per atom

---

The following is a PBE calculation of a relaxed SbPd2Au crystal, from Alexandria.

Unit cell a=3.230 b=3.230 c=8.453 alpha=78.99 beta=78.99 gamma=60.00
Fractional positions:
1 Sb 0.667 0.667 0.999
2 Pd 0.080 0.080 0.759
3 Pd 0.253 0.253 0.241
4 Au 0.500 0.500 0.501

## Properties
spin magnetization: 0.0 μB per formula unit
energy relative to the elements, uncorrected: -0.142 eV per atom

---

The following is a PBE calculation of a relaxed Sb2PdAu crystal, from Alexandria.

Unit cell a=4.214 b=4.214 c=6.474 alpha=71.01 beta=71.01 gamma=60.00
Fractional positions:
1 Sb 0.074 0.074 0.777
2 Sb 0.261 0.261 0.217
3 Pd 0.664 0.664 0.008
4 Au 0.501 0.501 0.497

## Properties
spin magnetization: 0.0 μB per formula unit
relative energy among the computed polymorphs: 35 meV/atom
energy relative to the elements, uncorrected: -0.146 eV per atom

---

The following is a PBE calculation of a relaxed Sb2Pd2Au crystal, from Alexandria.

Unit cell a=3.873 b=3.873 c=7.634 alpha=75.30 beta=75.30 gamma=90.00
Fractional positions:
1 Sb 0.387 0.387 0.226
2 Sb 0.613 0.613 0.774
3 Au 0.000 0.000 0.000
4 Pd 0.750 0.250 0.500
5 Pd 0.250 0.750 0.500

## Properties
spin magnetization: 0.0 μB per formula unit
relative energy among the computed polymorphs: 148 meV/atom
energy relative to the elements, uncorrected: -0.070 eV per atom

---

The following is a PBE calculation of a relaxed SbPd6Au2 crystal, from Alexandria.

Unit cell a=4.176 b=7.790 c=7.790 alpha=42.18 beta=74.39 gamma=74.39
Fractional positions:
1 Sb 0.078 0.922 0.922
2 Pd 0.685 0.059 0.572
3 Pd 0.299 0.963 0.439
4 Pd 0.299 0.439 0.963
5 Pd 0.488 0.763 0.261
6 Pd 0.488 0.261 0.763
7 Pd 0.685 0.572 0.059
8 Au 0.883 0.617 0.617
9 Au 0.096 0.404 0.404

## Properties
spin magnetization: 0.0 μB per formula unit
relative energy among the computed polymorphs: 199 meV/atom
energy relative to the elements, uncorrected: 0.017 eV per atom

---

The following is a PBE calculation of a relaxed SbPd4Au2 crystal, from Alexandria.

Unit cell a=7.067 b=7.420 c=7.228 alpha=117.98 beta=110.19 gamma=110.63
Fractional positions:
1 Sb 0.285 0.732 0.539
2 Sb 0.084 0.070 0.048
3 Pd 0.832 0.278 0.139
4 Pd 0.243 0.500 0.089
5 Pd 0.110 0.674 0.792
6 Pd 0.738 0.953 0.632
7 Pd 0.203 0.910 0.299
8 Pd 0.333 0.142 0.846
9 Pd 0.605 0.717 0.848
10 Pd 0.757 0.685 0.232
11 Au 0.723 0.373 0.789
12 Au 0.601 0.008 0.265
13 Au 0.613 0.448 0.415
14 Au 0.124 0.259 0.566

## Properties
spin magnetization: 0.0 μB per formula unit
relative energy among the computed polymorphs: 0 meV/atom
energy relative to the elements, uncorrected: -0.179 eV per atom

---

The following is a PBE calculation of a relaxed SbPd3Au crystal, from Alexandria.

Unit cell a=4.896 b=4.896 c=4.896 alpha=90.00 beta=90.00 gamma=90.00
Fractional positions:
1 Sb 0.000 0.000 0.000
2 Au 0.500 0.500 0.500
3 Pd 0.000 0.500 0.000
4 Pd 0.000 0.000 0.500
5 Pd 0.500 0.000 0.000

## Properties
spin magnetization: 0.0 μB per formula unit
relative energy among the computed polymorphs: 791 meV/atom
energy relative to the elements, uncorrected: 0.511 eV per atom

---

The following is a PBE calculation of a relaxed SbPd4Au3 crystal, from Alexandria.

Unit cell a=4.334 b=4.334 c=7.883 alpha=105.81 beta=105.81 gamma=90.41
Fractional positions:
1 Sb 0.500 0.000 0.000
2 Au 0.000 0.500 0.000
3 Au 0.753 0.252 0.504
4 Au 0.247 0.748 0.496
5 Pd 0.379 0.378 0.756
6 Pd 0.621 0.622 0.244
7 Pd 0.122 0.121 0.244
8 Pd 0.878 0.879 0.756

## Properties
spin magnetization: 0.0 μB per formula unit
energy relative to the elements, uncorrected: -0.205 eV per atom

---

The following is a PBE calculation of a relaxed Sb2Pd5Au crystal, from Alexandria.

Unit cell a=4.490 b=14.715 c=8.995 alpha=90.00 beta=90.00 gamma=90.00
Fractional positions:
1 Sb 0.250 0.605 0.003
2 Sb 0.750 0.395 0.997
3 Sb 0.750 0.895 0.503
4 Sb 0.250 0.105 0.497
5 Sb 0.250 0.105 0.881
6 Sb 0.750 0.895 0.119
7 Sb 0.750 0.395 0.381
8 Sb 0.250 0.605 0.619
9 Pd 0.250 0.758 0.780
10 Pd 0.750 0.242 0.220
11 Pd 0.750 0.742 0.280
12 Pd 0.250 0.258 0.720
13 Pd 0.250 0.448 0.240
14 Pd 0.750 0.552 0.760
15 Pd 0.750 0.052 0.740
16 Pd 0.250 0.948 0.260
17 Pd 0.250 0.798 0.456
18 Pd 0.750 0.202 0.544
19 Pd 0.750 0.702 0.956
20 Pd 0.250 0.298 0.044
21 Pd 0.750 0.716 0.602
22 Pd 0.250 0.284 0.398
23 Pd 0.250 0.784 0.102
24 Pd 0.750 0.216 0.898
25 Pd 0.250 0.948 0.663
26 Pd 0.750 0.052 0.337
27 Pd 0.750 0.552 0.163
28 Pd 0.250 0.448 0.837
29 Au 0.750 0.871 0.823
30 Au 0.250 0.129 0.177
31 Au 0.250 0.629 0.323
32 Au 0.750 0.371 0.677

## Properties
spin magnetization: 0.0 μB per formula unit
relative energy among the computed polymorphs: 0 meV/atom
energy relative to the elements, uncorrected: -0.260 eV per atom

---

The following is a PBE calculation of a relaxed SbPd6Au5 crystal, from Alexandria.

Unit cell a=4.359 b=7.685 c=7.685 alpha=112.98 beta=106.42 gamma=106.42
Fractional positions:
1 Sb 0.000 0.000 0.000
2 Au 0.500 0.185 0.815
3 Au 0.000 0.340 0.660
4 Au 0.500 0.500 0.500
5 Au 0.000 0.660 0.340
6 Au 0.500 0.815 0.185
7 Pd 0.236 0.077 0.397
8 Pd 0.764 0.603 0.923
9 Pd 0.726 0.227 0.227
10 Pd 0.274 0.773 0.773
11 Pd 0.236 0.397 0.077
12 Pd 0.764 0.923 0.603

## Properties
spin magnetization: 0.0 μB per formula unit
energy relative to the elements, uncorrected: -0.202 eV per atom

---

The following is a PBE calculation of a relaxed Sb2Pd5Au crystal, from Alexandria.

Unit cell a=3.032 b=9.002 c=11.282 alpha=90.00 beta=90.00 gamma=99.69
Fractional positions:
1 Sb 0.875 0.749 0.494
2 Sb 0.875 0.749 0.006
3 Sb 0.125 0.251 0.506
4 Sb 0.125 0.251 0.994
5 Pd 0.997 0.993 0.871
6 Pd 0.997 0.993 0.629
7 Pd 0.266 0.533 0.391
8 Pd 0.266 0.533 0.109
9 Pd 0.868 0.735 0.250
10 Pd 0.132 0.265 0.750
11 Pd 0.734 0.467 0.609
12 Pd 0.734 0.467 0.891
13 Pd 0.003 0.007 0.129
14 Pd 0.003 0.007 0.371
15 Au 0.860 0.720 0.750
16 Au 0.140 0.280 0.250

## Properties
spin magnetization: 0.0 μB per formula unit
relative energy among the computed polymorphs: 137 meV/atom
energy relative to the elements, uncorrected: -0.123 eV per atom

---

The following is a PBE calculation of a relaxed Sb2Pd8Au crystal, from Alexandria.

Unit cell a=4.128 b=6.566 c=7.602 alpha=110.04 beta=105.75 gamma=90.00
Fractional positions:
1 Sb 0.794 0.331 0.589
2 Sb 0.206 0.669 0.411
3 Pd 0.408 0.541 0.816
4 Pd 0.675 0.922 0.350
5 Pd 0.846 0.778 0.693
6 Pd 0.963 0.264 0.927
7 Pd 0.154 0.222 0.307
8 Pd 0.325 0.078 0.650
9 Pd 0.592 0.459 0.184
10 Pd 0.037 0.736 0.073
11 Au 0.500 0.000 0.000

## Properties
spin magnetization: 0.0 μB per formula unit
relative energy among the computed polymorphs: 0 meV/atom
energy relative to the elements, uncorrected: -0.297 eV per atom

---

The following is a PBE calculation of a relaxed SbPd3Au crystal, from Alexandria.

Unit cell a=4.949 b=6.814 c=6.814 alpha=120.00 beta=90.00 gamma=90.00
Fractional positions:
1 Sb 0.250 0.334 0.666
2 Sb 0.750 0.666 0.334
3 Pd 0.250 0.797 0.203
4 Pd 0.750 0.203 0.797
5 Pd 0.250 0.797 0.594
6 Pd 0.750 0.203 0.406
7 Pd 0.250 0.406 0.203
8 Pd 0.750 0.594 0.797
9 Au 0.000 0.000 0.000
10 Au 0.500 0.000 0.000

## Properties
spin magnetization: 0.0 μB per formula unit
relative energy among the computed polymorphs: 408 meV/atom
energy relative to the elements, uncorrected: 0.128 eV per atom

---

The following is a PBE calculation of a relaxed Sb2PdAu crystal, from Alexandria.

Unit cell a=4.333 b=6.045 c=13.727 alpha=90.00 beta=90.00 gamma=90.00
Fractional positions:
1 Sb 0.750 0.967 0.677
2 Sb 0.250 0.033 0.323
3 Sb 0.750 0.467 0.823
4 Sb 0.250 0.533 0.177
5 Sb 0.250 0.375 0.589
6 Sb 0.750 0.125 0.089
7 Sb 0.250 0.875 0.911
8 Sb 0.750 0.625 0.411
9 Pd 0.750 0.799 0.225
10 Pd 0.750 0.299 0.275
11 Pd 0.250 0.201 0.775
12 Pd 0.250 0.701 0.725
13 Au 0.750 0.186 0.488
14 Au 0.250 0.814 0.512
15 Au 0.750 0.686 0.012
16 Au 0.250 0.314 0.988

## Properties
spin magnetization: 0.0 μB per formula unit
relative energy among the computed polymorphs: 0 meV/atom
energy relative to the elements, uncorrected: -0.181 eV per atom